1.
5
Lattice="-5.186 -0.889 -1.578 -1.575 -0.151 5.260 -0.847 5.128 -0.106" Properties=species:S:1:pos:R:3 comment="MgGaSbTe2 | Alexandria via LeMat-Bulk | PBE | relaxed" sg="P4/mmm, No. 123" crystal_system=tetragonal pbc="T T T"
Te -2.593 -0.445 -0.789
Te -0.788 -0.076 2.630
Sb -0.424 2.564 -0.053
Mg -3.804 2.044 1.788
Ga 0.000 0.000 0.000



2.
5
Lattice="5.591 0.000 0.000 0.000 5.591 0.000 0.000 0.000 5.318" Properties=species:S:1:pos:R:3 comment="MgGaSbTe2 | Alexandria via LeMat-Bulk | PBE | relaxed" sg="P4/mmm, No. 123" crystal_system=tetragonal pbc="T T T"
Te 2.795 0.000 0.000
Te 0.000 2.795 0.000
Sb 0.000 0.000 2.659
Mg 0.000 0.000 0.000
Ga 2.795 2.795 2.659



no.,total energy (eV/atom),relative energy among the computed polymorphs (meV per atom)
1,-2.675,56
2,-2.731,0